Entry 1:
Here is a geometry-optimized LiMg2Al structure from Alexandria via LeMat-Bulk. Energies are from GGA-PBEsol.

It has space group Cm (No. 8), with a = 10.0602 Å, b = 3.0516 Å, c = 5.1513 Å, α = 90.00°, β = 103.10° and γ = 90.00°. The distinct sites, in fractional coordinates, are Li at (0.0000, 0.0000, 0.0000), Mg at (0.2423, 0.0000, 0.7657), Mg at (0.4798, 0.0000, 0.4743) and Al at (0.2319, 0.5000, 0.2533).

The total energy is -9.55 eV/f.u. Its energy relative to the elements is -0.015 eV/atom.


Entry 2:
Here is a geometry-optimized MgRh2Pb structure from Alexandria via LeMat-Bulk. Energies are from GGA-PBEsol.

It has space group Fm-3m (No. 225), with a = 6.3718 Å, b = 6.3718 Å, c = 6.3718 Å, α = 90.00°, β = 90.00° and γ = 90.00°. The distinct sites, in fractional coordinates, are Mg at (0.0000, 0.0000, 0.0000), Rh at (0.2500, 0.2500, 0.2500) and Pb at (0.0000, 0.0000, 0.5000).

The total energy is -23.20 eV/f.u. Its energy relative to the elements is -0.302 eV/atom.


Q: The lowest energy relative to the elements belongs to which entry?
A: MgRh2Pb


Q: Look up the energy relative to the elements of the first one.
A: -0.015 eV/atom


Q: What is the energy relative to the elements in the first record?
A: -0.015 eV/atom


Q: The lowest energy relative to the elements belongs to which entry?
A: MgRh2Pb